# LiCd2Pt

A relaxed structure of LiCd2Pt (PBE, Alexandria via LeMat-Bulk).

## Properties
- Crystal system: tetragonal
- Space-group type: P4/mmm
- Total DFT energy (no corrections): -2.816 eV/atom

Cell and atoms, written as extended XYZ:
```
4
Lattice="4.257 0.000 0.000 0.000 4.257 0.000 0.000 0.000 3.863" Properties=species:S:1:pos:R:3 pbc="T T T"
Li 0.000 0.000 0.000
Cd 0.000 2.129 1.932
Cd 2.129 0.000 1.932
Pt 2.129 2.129 0.000
```